Entry 1:
{"formula": "Pr2SmNi", "functional": "PBE", "state": "optimized geometry", "cell": [[6.495, 0.000, 0.000], [0.000, 7.075, 0.000], [0.000, 0.000, 10.086]], "species": ["Pr", "Pr", "Pr", "Pr", "Pr", "Pr", "Pr", "Pr", "Sm", "Sm", "Sm", "Sm", "Ni", "Ni", "Ni", "Ni"], "frac_coords": [[0.174, 0.677, 0.067], [0.326, 0.177, 0.433], [0.826, 0.323, 0.567], [0.674, 0.823, 0.933], [0.826, 0.323, 0.933], [0.674, 0.823, 0.567], [0.174, 0.677, 0.433], [0.326, 0.177, 0.067], [0.650, 0.535, 0.250], [0.850, 0.035, 0.250], [0.350, 0.465, 0.750], [0.150, 0.965, 0.750], [0.061, 0.384, 0.250], [0.439, 0.884, 0.250], [0.939, 0.616, 0.750], [0.561, 0.116, 0.750]], "vol_a3_per_atom": 28.970, "polymorph_energy_kj_per_mol_atoms": 0.0, "space_group": "Pnma (62)"}

---

Entry 2:
{"formula": "Pr3SmNi", "functional": "PBE", "state": "optimized geometry", "cell": [[3.730, 0.000, 0.613], [1.807, 6.175, 0.659], [-0.234, -0.573, 13.079]], "species": ["Pr", "Pr", "Pr", "Pr", "Pr", "Pr", "Sm", "Sm", "Ni", "Ni"], "frac_coords": [[0.443, 0.964, 0.151], [0.772, 0.697, 0.759], [0.103, 0.162, 0.632], [0.990, 0.109, 0.912], [0.777, 0.055, 0.390], [0.437, 0.613, 0.514], [0.112, 0.504, 0.272], [0.222, 0.557, 0.000], [0.761, 0.348, 0.129], [0.446, 0.328, 0.781]], "vol_a3_per_atom": 30.289, "space_group": "Cm (8)", "total_energy_ev_per_atom": -5.084}

---

Entry 3:
{"formula": "PrSmNi2", "functional": "PBE", "state": "optimized geometry", "cell": [[-0.228, -0.490, 3.412], [2.754, -4.095, -0.404], [4.102, 2.694, 0.660]], "species": ["Pr", "Ni", "Ni", "Sm"], "frac_coords": [[0.500, 0.000, 0.000], [0.000, 0.000, 0.500], [0.000, 0.500, 0.000], [0.500, 0.500, 0.500]], "vol_a3_per_atom": 21.176, "polymorph_energy_kj_per_mol_atoms": 9.4, "space_group": "P4/mmm (123)"}

---

Entry 4:
{"formula": "Pr12SmNi6", "functional": "PBE", "state": "optimized geometry", "cell": [[8.361, 0.000, -2.956], [-4.181, 7.241, -2.956], [0.000, 0.000, 8.868]], "species": ["Pr", "Pr", "Pr", "Pr", "Pr", "Pr", "Pr", "Pr", "Pr", "Pr", "Pr", "Pr", "Sm", "Ni", "Ni", "Ni", "Ni", "Ni", "Ni"], "frac_coords": [[0.312, 0.127, 0.815], [0.312, 0.497, 0.185], [0.688, 0.503, 0.815], [0.688, 0.873, 0.185], [0.127, 0.815, 0.312], [0.497, 0.185, 0.312], [0.503, 0.815, 0.688], [0.873, 0.185, 0.688], [0.815, 0.312, 0.127], [0.185, 0.312, 0.497], [0.815, 0.688, 0.503], [0.185, 0.688, 0.873], [0.000, 0.000, 0.000], [0.380, 0.500, 0.880], [0.620, 0.500, 0.120], [0.500, 0.880, 0.380], [0.500, 0.120, 0.620], [0.880, 0.380, 0.500], [0.120, 0.620, 0.500]], "vol_a3_per_atom": 28.259, "space_group": "Im-3 (204)", "total_energy_ev_per_atom": -5.251}

---

Please write out number 4 again, unchanged.
{"formula": "Pr12SmNi6", "functional": "PBE", "state": "optimized geometry", "cell": [[8.361, 0.000, -2.956], [-4.181, 7.241, -2.956], [0.000, 0.000, 8.868]], "species": ["Pr", "Pr", "Pr", "Pr", "Pr", "Pr", "Pr", "Pr", "Pr", "Pr", "Pr", "Pr", "Sm", "Ni", "Ni", "Ni", "Ni", "Ni", "Ni"], "frac_coords": [[0.312, 0.127, 0.815], [0.312, 0.497, 0.185], [0.688, 0.503, 0.815], [0.688, 0.873, 0.185], [0.127, 0.815, 0.312], [0.497, 0.185, 0.312], [0.503, 0.815, 0.688], [0.873, 0.185, 0.688], [0.815, 0.312, 0.127], [0.185, 0.312, 0.497], [0.815, 0.688, 0.503], [0.185, 0.688, 0.873], [0.000, 0.000, 0.000], [0.380, 0.500, 0.880], [0.620, 0.500, 0.120], [0.500, 0.880, 0.380], [0.500, 0.120, 0.620], [0.880, 0.380, 0.500], [0.120, 0.620, 0.500]], "vol_a3_per_atom": 28.259, "space_group": "Im-3 (204)", "total_energy_ev_per_atom": -5.251}

---

Repeat the second record exactly.
{"formula": "Pr3SmNi", "functional": "PBE", "state": "optimized geometry", "cell": [[3.730, 0.000, 0.613], [1.807, 6.175, 0.659], [-0.234, -0.573, 13.079]], "species": ["Pr", "Pr", "Pr", "Pr", "Pr", "Pr", "Sm", "Sm", "Ni", "Ni"], "frac_coords": [[0.443, 0.964, 0.151], [0.772, 0.697, 0.759], [0.103, 0.162, 0.632], [0.990, 0.109, 0.912], [0.777, 0.055, 0.390], [0.437, 0.613, 0.514], [0.112, 0.504, 0.272], [0.222, 0.557, 0.000], [0.761, 0.348, 0.129], [0.446, 0.328, 0.781]], "vol_a3_per_atom": 30.289, "space_group": "Cm (8)", "total_energy_ev_per_atom": -5.084}